Record 1
Entry from Alexandria: a geometry-optimized AlTl2AsSe4 structure (PBE-GGA).

Computed properties:
density = 5.65 g cm⁻³
E_form (uncorrected) = -3.68 eV per formula unit
final energy = -3.842 eV per atom

abc: 6.3824 8.6412 6.1476
angles: 119.24 117.72 93.56
Closest atoms and distances in Å follow each position.
Positions (direct):
Se (0.6469, 0.6109, 0.7050)  1 As 2.42, 1 Al 2.44
Se (0.3648, 0.8038, 0.2728)  1 As 2.46, 1 Al 2.47
Se (0.0388, 0.0471, 0.7722)  1 Al 2.34
Se (0.8428, 0.4622, 0.1906)  1 Al 2.43, 1 As 2.45
As (0.9849, 0.5067, 0.9102)  3 Se 2.42-2.46
Tl (0.5464, 0.0119, 0.9978)  2 Se 2.98-3.30
Tl (0.2107, 0.2127, 0.4568)  4 Se 3.25-3.51, 1 Tl 3.48
Al (0.7518, 0.7319, 0.4687)  4 Se 2.34-2.47

Record 2
Entry from Alexandria: a geometry-optimized CuHg5 structure (PBE-GGA).

Computed properties:
distance to the lowest polymorph of the same formula = 0.033 eV/atom
density = 10.42 g cm⁻³
final energy = -0.794 eV per atom
ΔH_f (0 K) = 0.14 eV per atom

abc: 10.5358 10.5358 5.4327
angles: 90.00 90.00 163.63
Closest atoms and distances in Å follow each position.
Positions (direct):
Hg (0.2656, 0.7344, 0.5000)  6 Hg 3.00-3.32
Hg (0.5542, 0.4458, 0.0000)  2 Cu 2.74, 2 Hg 3.00
Hg (0.9445, 0.0555, 0.5000)  2 Cu 2.72, 2 Hg 3.00
Hg (0.3344, 0.6656, 0.0000)  2 Cu 2.74, 2 Hg 3.00
Hg (0.6236, 0.3764, 0.5000)  6 Hg 3.00-3.32
Cu (0.9443, 0.0557, 0.0000)  6 Hg 2.72-2.74, 2 Cu 3.00